Below is a geometry-optimized VPbO3 structure, with properties calculated at the PBE with a Hubbard U level.

Uncorrected energy, eV/atom: -6.824
Space-group type: No. 15
Calculated volume, Å³/f.u.: 83.34

```
VPbO3
1.0
5.566 -5.107 0.000
5.566 5.107 0.000
-1.337 0.000 5.863
V Pb O
4 4 12
direct
0.124 0.317 0.269 V
0.317 0.124 0.769 V
0.683 0.876 0.231 V
0.876 0.683 0.731 V
0.184 0.816 0.250 Pb
0.392 0.608 0.750 Pb
0.608 0.392 0.250 Pb
0.816 0.184 0.750 Pb
0.104 0.655 0.856 O
0.153 0.220 0.542 O
0.220 0.153 0.042 O
0.249 0.517 0.343 O
0.345 0.896 0.644 O
0.483 0.751 0.157 O
0.517 0.249 0.843 O
0.655 0.104 0.356 O
0.751 0.483 0.657 O
0.780 0.847 0.958 O
0.847 0.780 0.458 O
0.896 0.345 0.144 O
```